# PBE Sm2ThZn6, optimized geometry
data_Sm2ThZn6
_symmetry_space_group_name_H-M 'P 1'
_symmetry_Int_Tables_number 1
_symmetry_space_group_name_Hall 'P 1'
_cell_length_a 7.8936
_cell_length_b 7.8936
_cell_length_c 3.5641
_cell_angle_alpha 90.00
_cell_angle_beta 90.00
_cell_angle_gamma 120.00
loop_
_atom_site_label
_atom_site_fract_x
_atom_site_fract_y
_atom_site_fract_z
_atom_site_occupancy
Sm1 0.3333 0.6667 0.0000 1
Sm2 0.6667 0.3333 0.0000 1
Th1 0.0000 0.0000 0.0000 1
Zn1 0.0000 0.3356 0.5000 1
Zn2 0.0000 0.6644 0.5000 1
Zn3 0.3356 0.0000 0.5000 1
Zn4 0.3356 0.3356 0.5000 1
Zn5 0.6644 0.0000 0.5000 1
Zn6 0.6644 0.6644 0.5000 1
# ΔE_f: -0.328 eV/atom

# PBE SmTh2Zn, optimized geometry
data_SmTh2Zn
_symmetry_space_group_name_H-M 'P 1'
_symmetry_Int_Tables_number 1
_symmetry_space_group_name_Hall 'P 1'
_cell_length_a 3.6513
_cell_length_b 3.6513
_cell_length_c 8.7490
_cell_angle_alpha 90.00
_cell_angle_beta 90.00
_cell_angle_gamma 90.00
loop_
_atom_site_label
_atom_site_fract_x
_atom_site_fract_y
_atom_site_fract_z
_atom_site_occupancy
Sm1 0.0000 0.0000 0.0000 1
Th1 0.5000 0.5000 0.2926 1
Th2 0.5000 0.5000 0.7074 1
Zn1 0.0000 0.0000 0.5000 1
# ΔE_f: -0.016 eV/atom
# E above lowest polymorph: 0 meV/atom

# PBE SmThZn3, optimized geometry
data_SmThZn3
_symmetry_space_group_name_H-M 'P 1'
_symmetry_Int_Tables_number 1
_symmetry_space_group_name_Hall 'P 1'
_cell_length_a 14.0145
_cell_length_b 14.0145
_cell_length_c 4.5813
_cell_angle_alpha 90.00
_cell_angle_beta 90.00
_cell_angle_gamma 165.36
loop_
_atom_site_label
_atom_site_fract_x
_atom_site_fract_y
_atom_site_fract_z
_atom_site_occupancy
Sm1 0.2079 0.7921 0.7500 1
Sm2 0.7921 0.2079 0.2500 1
Th1 0.0723 0.9277 0.2500 1
Th2 0.9277 0.0723 0.7500 1
Zn1 0.3293 0.6707 0.7500 1
Zn2 0.3817 0.6183 0.2500 1
Zn3 0.4766 0.5234 0.2500 1
Zn4 0.5234 0.4766 0.7500 1
Zn5 0.6183 0.3817 0.7500 1
Zn6 0.6707 0.3293 0.2500 1
# ΔE_f: -0.269 eV/atom

# PBE SmThZn4, optimized geometry
data_SmThZn4
_symmetry_space_group_name_H-M 'P 1'
_symmetry_Int_Tables_number 1
_symmetry_space_group_name_Hall 'P 1'
_cell_length_a 5.5490
_cell_length_b 5.5490
_cell_length_c 5.5490
_cell_angle_alpha 60.00
_cell_angle_beta 60.00
_cell_angle_gamma 60.00
loop_
_atom_site_label
_atom_site_fract_x
_atom_site_fract_y
_atom_site_fract_z
_atom_site_occupancy
Sm1 0.0000 0.0000 0.0000 1
Th1 0.7500 0.7500 0.7500 1
Zn1 0.3741 0.3741 0.3741 1
Zn2 0.3741 0.3741 0.8776 1
Zn3 0.3741 0.8776 0.3741 1
Zn4 0.8776 0.3741 0.3741 1
# ΔE_f: -0.275 eV/atom
# E above lowest polymorph: 0 meV/atom

# PBE SmTh2Zr, optimized geometry
data_SmTh2Zr
_symmetry_space_group_name_H-M 'P 1'
_symmetry_Int_Tables_number 1
_symmetry_space_group_name_Hall 'P 1'
_cell_length_a 11.4363
_cell_length_b 11.4363
_cell_length_c 11.4363
_cell_angle_alpha 17.64
_cell_angle_beta 17.64
_cell_angle_gamma 17.64
loop_
_atom_site_label
_atom_site_fract_x
_atom_site_fract_y
_atom_site_fract_z
_atom_site_occupancy
Sm1 0.0000 0.0000 0.0000 1
Th1 0.2462 0.2462 0.2462 1
Th2 0.7538 0.7538 0.7538 1
Zr1 0.5000 0.5000 0.5000 1
# ΔE_f: 0.115 eV/atom
# E above lowest polymorph: 15 meV/atom

# PBE Sm14ThZr, optimized geometry
data_Sm14ThZr
_symmetry_space_group_name_H-M 'P 1'
_symmetry_Int_Tables_number 1
_symmetry_space_group_name_Hall 'P 1'
_cell_length_a 7.1793
_cell_length_b 7.1793
_cell_length_c 10.1963
_cell_angle_alpha 90.00
_cell_angle_beta 90.00
_cell_angle_gamma 90.00
loop_
_atom_site_label
_atom_site_fract_x
_atom_site_fract_y
_atom_site_fract_z
_atom_site_occupancy
Sm1 0.0000 0.0000 0.0000 1
Sm2 0.0000 0.5000 0.0000 1
Sm3 0.0000 0.5000 0.5000 1
Sm4 0.2464 0.2464 0.2574 1
Sm5 0.2464 0.2464 0.7426 1
Sm6 0.2464 0.7536 0.2574 1
Sm7 0.2464 0.7536 0.7426 1
Sm8 0.5000 0.0000 0.0000 1
Sm9 0.5000 0.0000 0.5000 1
Sm10 0.5000 0.5000 0.0000 1
Sm11 0.7536 0.2464 0.2574 1
Sm12 0.7536 0.2464 0.7426 1
Sm13 0.7536 0.7536 0.2574 1
Sm14 0.7536 0.7536 0.7426 1
Th1 0.5000 0.5000 0.5000 1
Zr1 0.0000 0.0000 0.5000 1
# ΔE_f: 0.052 eV/atom

# PBE SmTh2Zr, optimized geometry
data_SmTh2Zr
_symmetry_space_group_name_H-M 'P 1'
_symmetry_Int_Tables_number 1
_symmetry_space_group_name_Hall 'P 1'
_cell_length_a 11.5168
_cell_length_b 11.5168
_cell_length_c 11.5168
_cell_angle_alpha 17.48
_cell_angle_beta 17.48
_cell_angle_gamma 17.48
loop_
_atom_site_label
_atom_site_fract_x
_atom_site_fract_y
_atom_site_fract_z
_atom_site_occupancy
Sm1 0.0000 0.0000 0.0000 1
Th1 0.2441 0.2441 0.2441 1
Th2 0.4185 0.4185 0.4185 1
Zr1 0.8301 0.8301 0.8301 1
# ΔE_f: 0.118 eV/atom
# E above lowest polymorph: 18 meV/atom

# PBE SmTh2Zr, optimized geometry
data_SmTh2Zr
_symmetry_space_group_name_H-M 'P 1'
_symmetry_Int_Tables_number 1
_symmetry_space_group_name_Hall 'P 1'
_cell_length_a 4.9401
_cell_length_b 4.9401
_cell_length_c 4.9415
_cell_angle_alpha 90.00
_cell_angle_beta 90.00
_cell_angle_gamma 90.00
loop_
_atom_site_label
_atom_site_fract_x
_atom_site_fract_y
_atom_site_fract_z
_atom_site_occupancy
Sm1 0.0000 0.0000 0.0000 1
Th1 0.0000 0.5000 0.5000 1
Th2 0.5000 0.0000 0.5000 1
Zr1 0.5000 0.5000 0.0000 1
# ΔE_f: 0.132 eV/atom
# E above lowest polymorph: 32 meV/atom

# PBE SmTh2Zr, optimized geometry
data_SmTh2Zr
_symmetry_space_group_name_H-M 'P 1'
_symmetry_Int_Tables_number 1
_symmetry_space_group_name_Hall 'P 1'
_cell_length_a 5.5161
_cell_length_b 5.5161
_cell_length_c 5.5161
_cell_angle_alpha 60.00
_cell_angle_beta 60.00
_cell_angle_gamma 60.00
loop_
_atom_site_label
_atom_site_fract_x
_atom_site_fract_y
_atom_site_fract_z
_atom_site_occupancy
Sm1 0.0000 0.0000 0.0000 1
Th1 0.2500 0.2500 0.2500 1
Th2 0.7500 0.7500 0.7500 1
Zr1 0.5000 0.5000 0.5000 1
# ΔE_f: 0.163 eV/atom
# E above lowest polymorph: 64 meV/atom

# PBE SmTh2Zr, optimized geometry
data_SmTh2Zr
_symmetry_space_group_name_H-M 'P 1'
_symmetry_Int_Tables_number 1
_symmetry_space_group_name_Hall 'P 1'
_cell_length_a 3.4925
_cell_length_b 3.4925
_cell_length_c 9.9010
_cell_angle_alpha 90.00
_cell_angle_beta 90.00
_cell_angle_gamma 90.00
loop_
_atom_site_label
_atom_site_fract_x
_atom_site_fract_y
_atom_site_fract_z
_atom_site_occupancy
Sm1 0.0000 0.0000 0.0000 1
Th1 0.5000 0.5000 0.2660 1
Th2 0.5000 0.5000 0.7340 1
Zr1 0.0000 0.0000 0.5000 1
# ΔE_f: 0.100 eV/atom
# E above lowest polymorph: 0 meV/atom

# PBE SmTi6, optimized geometry
data_SmTi6
_symmetry_space_group_name_H-M 'P 1'
_symmetry_Int_Tables_number 1
_symmetry_space_group_name_Hall 'P 1'
_cell_length_a 6.0263
_cell_length_b 6.0263
_cell_length_c 6.0263
_cell_angle_alpha 109.47
_cell_angle_beta 109.47
_cell_angle_gamma 109.47
loop_
_atom_site_label
_atom_site_fract_x
_atom_site_fract_y
_atom_site_fract_z
_atom_site_occupancy
Sm1 0.0000 0.0000 0.0000 1
Ti1 0.2500 0.5000 0.7500 1
Ti2 0.2500 0.7500 0.5000 1
Ti3 0.5000 0.2500 0.7500 1
Ti4 0.5000 0.7500 0.2500 1
Ti5 0.7500 0.2500 0.5000 1
Ti6 0.7500 0.5000 0.2500 1
# ΔE_f: 1.349 eV/atom

# PBE Sm3Ti, optimized geometry
data_Sm3Ti
_symmetry_space_group_name_H-M 'P 1'
_symmetry_Int_Tables_number 1
_symmetry_space_group_name_Hall 'P 1'
_cell_length_a 3.3304
_cell_length_b 3.3516
_cell_length_c 10.7426
_cell_angle_alpha 90.00
_cell_angle_beta 90.00
_cell_angle_gamma 90.00
loop_
_atom_site_label
_atom_site_fract_x
_atom_site_fract_y
_atom_site_fract_z
_atom_site_occupancy
Sm1 0.0000 0.0000 0.0000 1
Sm2 0.0000 0.5000 0.3017 1
Sm3 0.5000 0.5000 0.7441 1
Ti1 0.5000 0.0000 0.4997 1
# ΔE_f: 0.372 eV/atom
# E above lowest polymorph: 136 meV/atom

# PBE Sm3Ti, optimized geometry
data_Sm3Ti
_symmetry_space_group_name_H-M 'P 1'
_symmetry_Int_Tables_number 1
_symmetry_space_group_name_Hall 'P 1'
_cell_length_a 5.9423
_cell_length_b 5.9423
_cell_length_c 5.9423
_cell_angle_alpha 131.32
_cell_angle_beta 131.32
_cell_angle_gamma 71.30
loop_
_atom_site_label
_atom_site_fract_x
_atom_site_fract_y
_atom_site_fract_z
_atom_site_occupancy
Sm1 0.0000 0.0000 0.0000 1
Sm2 0.2500 0.7500 0.5000 1
Sm3 0.7500 0.2500 0.5000 1
Ti1 0.5000 0.5000 0.0000 1
# ΔE_f: 0.236 eV/atom
# E above lowest polymorph: 0 meV/atom

no.,magnetic moment (μB per atom),calculated volume (Å³/atom),E (eV per atom)
1,0.000,21.37,-3.051
2,0.000,29.16,-5.225
3,0.000,22.74,-3.462
4,0.000,20.14,-3.148
5,0.000,29.98,-6.912
6,0.000,32.85,-5.075
7,0.000,30.06,-6.908
8,0.000,30.15,-6.895
9,0.000,29.67,-6.863
10,0.000,30.19,-6.927
11,1.024,24.07,-6.092
12,0.000,29.98,-5.141
13,0.203,28.96,-5.277